Record 1
Material: ErMg2AlPt4
Method: DFT, GGA-PBE
State: optimized geometry

POSCAR file:
```
ErMg2AlPt4
1.0
-0.456 -3.746 -2.506
-1.721 -3.763 1.844
-7.761 -0.284 -2.259
Pt Al Mg Er
4 1 2 1
direct
0.610 0.610 0.170
0.390 0.390 0.830
0.130 0.130 0.609
0.870 0.870 0.391
0.500 0.500 0.500
0.752 0.752 0.744
0.248 0.248 0.256
0.000 0.000 0.000
```

Calculated values
Energy relative to the elements (eV/atom): -0.991
Raw total energy (eV per formula unit): -43.584
Spin magnetization (μB/f.u.): 0.00

---

Record 2
Material: Er2MgAl4Pt3
Method: DFT, GGA-PBE
State: optimized geometry

POSCAR file:
```
Er2MgAl4Pt3
1.0
4.091 0.000 0.000
0.000 4.091 0.000
0.000 0.000 11.291
Pt Mg Al Er
3 1 4 2
direct
0.500 0.000 0.866
0.000 0.500 0.134
0.000 0.000 0.500
0.500 0.500 0.500
0.500 0.000 0.648
0.000 0.000 0.000
0.500 0.500 0.000
0.000 0.500 0.352
0.000 0.500 0.763
0.500 0.000 0.237
```

Calculated values
Energy relative to the elements (eV/atom): -0.928
Raw total energy (eV per formula unit): -53.088
Spin magnetization (μB/f.u.): 0.00

---

Record 3
Material: Er2MgAl2Pt5
Method: DFT, GGA-PBE
State: optimized geometry

POSCAR file:
```
Er2MgAl2Pt5
1.0
3.698 0.000 0.000
0.000 9.786 0.000
0.000 0.000 9.786
Al Er Pt Mg
4 4 10 2
direct
0.000 0.623 0.877
0.000 0.377 0.123
0.000 0.877 0.377
0.000 0.123 0.623
0.000 0.324 0.824
0.000 0.176 0.324
0.000 0.824 0.676
0.000 0.676 0.176
0.500 0.067 0.791
0.500 0.433 0.291
0.500 0.791 0.933
0.500 0.933 0.209
0.500 0.209 0.067
0.500 0.500 0.000
0.500 0.000 0.500
0.500 0.291 0.567
0.500 0.709 0.433
0.500 0.567 0.709
0.000 0.500 0.500
0.000 0.000 0.000
```

Calculated values
Energy relative to the elements (eV/atom): -1.027
Raw total energy (eV per formula unit): -58.680
Spin magnetization (μB/f.u.): 0.00

---

Record 4
Material: ErMgAlRh
Method: DFT, GGA-PBE
State: optimized geometry

POSCAR file:
```
ErMgAlRh
1.0
4.704 0.000 0.000
2.352 4.074 0.000
2.352 1.358 3.841
Mg Al Er Rh
1 1 1 1
direct
0.000 0.000 0.000
0.750 0.750 0.750
0.250 0.250 0.250
0.500 0.500 0.500
```

Calculated values
Energy relative to the elements (eV/atom): -0.482
Raw total energy (eV per formula unit): -19.181
Spin magnetization (μB/f.u.): 0.00

---

Record 5
Material: Er2MgAl2Rh5
Method: DFT, GGA-PBE
State: optimized geometry

POSCAR file:
```
Er2MgAl2Rh5
1.0
3.425 0.000 0.000
0.000 9.934 0.000
0.000 0.000 9.934
Er Mg Rh Al
4 2 10 4
direct
0.000 0.174 0.326
0.000 0.674 0.174
0.000 0.826 0.674
0.000 0.326 0.826
0.000 0.500 0.500
0.000 0.000 0.000
0.500 0.932 0.207
0.500 0.000 0.500
0.500 0.707 0.432
0.500 0.207 0.068
0.500 0.293 0.568
0.500 0.500 0.000
0.500 0.068 0.793
0.500 0.568 0.707
0.500 0.432 0.293
0.500 0.793 0.932
0.000 0.124 0.624
0.000 0.876 0.376
0.000 0.624 0.876
0.000 0.376 0.124
```

Calculated values
Energy relative to the elements (eV/atom): -0.836
Raw total energy (eV per formula unit): -63.325
Spin magnetization (μB/f.u.): 0.00

---

Record 6
Material: ErMgScAl
Method: DFT, GGA-PBE
State: optimized geometry

POSCAR file:
```
ErMgScAl
1.0
5.028 0.000 0.000
2.514 4.355 0.000
2.514 1.452 4.106
Sc Mg Al Er
1 1 1 1
direct
0.000 0.000 0.000
0.750 0.750 0.750
0.250 0.250 0.250
0.500 0.500 0.500
```

Calculated values
Energy relative to the elements (eV/atom): -0.267
Raw total energy (eV per formula unit): -17.300
Spin magnetization (μB/f.u.): 0.00

---

Record 7
Material: ErMgAlSe4
Method: DFT, GGA-PBE
State: optimized geometry

POSCAR file:
```
ErMgAlSe4
1.0
7.923 0.000 0.000
3.962 6.863 0.116
3.962 2.201 6.501
Se Er Mg Al
8 2 2 2
direct
0.749 0.242 0.261
0.744 0.752 0.252
0.749 0.761 0.742
0.251 0.239 0.258
0.252 0.752 0.252
0.748 0.248 0.748
0.251 0.758 0.739
0.256 0.248 0.748
0.000 0.500 0.500
0.000 0.000 0.000
0.500 0.000 0.500
0.000 0.000 0.500
0.368 0.382 0.882
0.632 0.618 0.118
```

Calculated values
Raw total energy (eV per formula unit): -32.802
Spin magnetization (μB/f.u.): 0.00

---

Record 8
Material: SmErMgAl
Method: DFT, GGA-PBE
State: optimized geometry

POSCAR file:
```
SmErMgAl
1.0
-2.863 4.334 0.588
-5.087 -0.043 -1.205
-3.587 0.269 3.793
Mg Al Sm Er
1 1 1 1
direct
0.000 0.000 0.000
0.500 0.500 0.500
0.750 0.750 0.750
0.250 0.250 0.250
```

Calculated values
Energy relative to the elements (eV/atom): -0.266
Raw total energy (eV per formula unit): -15.682
Spin magnetization (μB/f.u.): 0.00

---

Question: Which formula does entry 4 have?
Answer: ErMgAlRh